Run one
A relaxed structure of Ac3Mg2Hg3, computed with PBE-GGA.

Lattice parameters (Å, degrees): 7.057 7.057 15.484 90.00 90.00 139.67
Sites, in units of the cell vectors:
Ac  0.061  0.939  0.616
Ac  0.061  0.939  0.884
Ac  0.339  0.661  0.750
Ac  0.661  0.339  0.250
Ac  0.939  0.061  0.116
Ac  0.939  0.061  0.384
Mg  0.223  0.777  0.077
Mg  0.223  0.777  0.423
Mg  0.777  0.223  0.577
Mg  0.777  0.223  0.923
Hg  0.346  0.654  0.250
Hg  0.392  0.608  0.542
Hg  0.392  0.608  0.958
Hg  0.608  0.392  0.042
Hg  0.608  0.392  0.458
Hg  0.654  0.346  0.750

Symmetry: Cmcm (63)
Crystal system: orthorhombic
DOS(E_F) (states/eV/f.u.): 8.21
Calculated volume (A^3/atom): 31.2



Run two
A relaxed structure of Ac3Mg2Hg3, computed with PBE-GGA.

Lattice parameters (Å, degrees): 11.482 11.482 11.482 159.91 151.28 35.30
Sites, in units of the cell vectors:
Ac  0.000  0.000  0.000
Ac  0.370  0.870  0.500
Ac  0.630  0.130  0.500
Mg  0.234  0.234  0.000
Mg  0.766  0.766  0.000
Hg  0.133  0.633  0.500
Hg  0.500  0.500  0.000
Hg  0.867  0.367  0.500

Symmetry: Immm (71)
Crystal system: orthorhombic
DOS(E_F) (states/eV/f.u.): 7.99
Calculated volume (A^3/atom): 31.2



Order of stability, best first: run one, run two



Run one
A relaxed structure of AcMg2Hg8, computed with PBE-GGA.

Lattice parameters (Å, degrees): 7.144 7.144 6.308 90.00 90.00 90.00
Sites, in units of the cell vectors:
Ac  0.000  0.000  0.000
Mg  0.000  0.500  0.500
Mg  0.500  0.000  0.500
Hg  0.288  0.288  0.249
Hg  0.288  0.288  0.751
Hg  0.288  0.712  0.249
Hg  0.288  0.712  0.751
Hg  0.712  0.288  0.249
Hg  0.712  0.288  0.751
Hg  0.712  0.712  0.249
Hg  0.712  0.712  0.751

Symmetry: P4/mmm (123)
Crystal system: tetragonal
DOS(E_F) (states/eV/f.u.): 5.75
Calculated volume (A^3/atom): 29.3



Run two
A relaxed structure of AcMg2Hg8, computed with PBE-GGA.

Lattice parameters (Å, degrees): 8.565 8.565 5.546 94.82 94.82 44.07
Sites, in units of the cell vectors:
Ac  0.000  0.000  0.000
Mg  0.255  0.255  0.643
Mg  0.745  0.745  0.357
Hg  0.155  0.651  0.471
Hg  0.214  0.214  0.128
Hg  0.349  0.845  0.529
Hg  0.405  0.405  0.987
Hg  0.595  0.595  0.013
Hg  0.651  0.155  0.471
Hg  0.786  0.786  0.872
Hg  0.845  0.349  0.529

Symmetry: C2/m (12)
Crystal system: monoclinic
DOS(E_F) (states/eV/f.u.): 4.02
Calculated volume (A^3/atom): 25.6



Order of stability, best first: run two, run one



Run one
A relaxed structure of AcMg6Hg12, computed with PBE-GGA.

Lattice parameters (Å, degrees): 8.655 8.655 8.655 109.47 109.47 109.47
Sites, in units of the cell vectors:
Ac  0.000  0.000  0.000
Mg  0.150  0.650  0.500
Mg  0.350  0.500  0.850
Mg  0.500  0.150  0.650
Mg  0.500  0.850  0.350
Mg  0.650  0.500  0.150
Mg  0.850  0.350  0.500
Hg  0.107  0.825  0.282
Hg  0.175  0.282  0.457
Hg  0.175  0.718  0.893
Hg  0.282  0.107  0.825
Hg  0.282  0.457  0.175
Hg  0.457  0.175  0.282
Hg  0.543  0.825  0.718
Hg  0.718  0.543  0.825
Hg  0.718  0.893  0.175
Hg  0.825  0.282  0.107
Hg  0.825  0.718  0.543
Hg  0.893  0.175  0.718

Symmetry: Im-3 (204)
Crystal system: cubic
DOS(E_F) (states/eV/f.u.): 11.88
Calculated volume (A^3/atom): 26.3



Run two
A relaxed structure of AcMg6Hg12, computed with PBE-GGA.

Lattice parameters (Å, degrees): 8.538 8.538 8.538 110.68 110.68 110.68
Sites, in units of the cell vectors:
Ac  0.000  0.000  0.000
Mg  0.046  0.543  0.318
Mg  0.318  0.046  0.543
Mg  0.457  0.682  0.954
Mg  0.543  0.318  0.046
Mg  0.682  0.954  0.457
Mg  0.954  0.457  0.682
Hg  0.122  0.209  0.746
Hg  0.206  0.350  0.491
Hg  0.209  0.746  0.122
Hg  0.254  0.878  0.791
Hg  0.350  0.491  0.206
Hg  0.491  0.206  0.350
Hg  0.509  0.794  0.650
Hg  0.650  0.509  0.794
Hg  0.746  0.122  0.209
Hg  0.791  0.254  0.878
Hg  0.794  0.650  0.509
Hg  0.878  0.791  0.254

Symmetry: R-3 (148)
Crystal system: trigonal
DOS(E_F) (states/eV/f.u.): 8.63
Calculated volume (A^3/atom): 24.0



Order of stability, best first: run two, run one



Run one
A relaxed structure of AcNdMgHg, computed with PBE-GGA.

Lattice parameters (Å, degrees): 3.974 3.974 7.923 90.00 90.00 90.00
Sites, in units of the cell vectors:
Ac  0.000  0.000  0.000
Nd  0.000  0.000  0.506
Mg  0.500  0.500  0.274
Hg  0.500  0.500  0.723

Symmetry: P4mm (99)
Crystal system: tetragonal
DOS(E_F) (states/eV/f.u.): 5.19
Calculated volume (A^3/atom): 31.3



Run two
A relaxed structure of AcNdMgHg, computed with PBE-GGA.

Lattice parameters (Å, degrees): 5.613 5.613 5.613 60.00 60.00 60.00
Sites, in units of the cell vectors:
Ac  0.000  0.000  0.000
Nd  0.500  0.500  0.500
Mg  0.250  0.250  0.250
Hg  0.750  0.750  0.750

Symmetry: F-43m (216)
Crystal system: cubic
DOS(E_F) (states/eV/f.u.): 4.86
Calculated volume (A^3/atom): 31.3



Order of stability, best first: run one, run two



Run one
A relaxed structure of Ac4Hg3N, computed with PBE-GGA.

Lattice parameters (Å, degrees): 6.976 6.976 6.976 109.47 109.47 109.47
Sites, in units of the cell vectors:
Ac  0.000  0.000  0.643
Ac  0.000  0.643  0.000
Ac  0.357  0.357  0.357
Ac  0.643  0.000  0.000
Hg  0.000  0.500  0.500
Hg  0.500  0.000  0.500
Hg  0.500  0.500  0.000
N  0.000  0.000  0.000

Symmetry: I-43m (217)
Crystal system: cubic
DOS(E_F) (states/eV/f.u.): 7.54
Calculated volume (A^3/atom): 32.7



Run two
A relaxed structure of Ac4Hg3N, computed with PBE-GGA.

Lattice parameters (Å, degrees): 9.802 10.721 10.210 90.00 90.00 90.00
Sites, in units of the cell vectors:
Ac  0.037  0.250  0.079
Ac  0.167  0.750  0.267
Ac  0.188  0.062  0.474
Ac  0.188  0.438  0.474
Ac  0.312  0.562  0.974
Ac  0.312  0.938  0.974
Ac  0.333  0.250  0.767
Ac  0.463  0.750  0.579
Ac  0.537  0.250  0.421
Ac  0.667  0.750  0.233
Ac  0.688  0.062  0.026
Ac  0.688  0.438  0.026
Ac  0.812  0.562  0.526
Ac  0.812  0.938  0.526
Ac  0.833  0.250  0.733
Ac  0.963  0.750  0.921
Hg  0.058  0.027  0.780
Hg  0.058  0.473  0.780
Hg  0.104  0.750  0.605
Hg  0.396  0.250  0.105
Hg  0.442  0.527  0.280
Hg  0.442  0.973  0.280
Hg  0.558  0.027  0.720
Hg  0.558  0.473  0.720
Hg  0.604  0.750  0.895
Hg  0.896  0.250  0.395
Hg  0.942  0.527  0.220
Hg  0.942  0.973  0.220
N  0.189  0.750  0.028
N  0.311  0.250  0.528
N  0.689  0.750  0.472
N  0.811  0.250  0.972

Symmetry: Pnma (62)
Crystal system: orthorhombic
DOS(E_F) (states/eV/f.u.): 7.29
Calculated volume (A^3/atom): 33.5



Order of stability, best first: run two, run one



Run one
A relaxed structure of Ac3HgN2, computed with PBE-GGA.

Lattice parameters (Å, degrees): 3.763 12.507 6.605 90.00 90.00 90.00
Sites, in units of the cell vectors:
Ac  0.000  0.086  0.000
Ac  0.000  0.914  0.500
Ac  0.500  0.168  0.511
Ac  0.500  0.373  0.896
Ac  0.500  0.627  0.396
Ac  0.500  0.832  0.011
Hg  0.000  0.387  0.337
Hg  0.000  0.613  0.837
N  0.000  0.254  0.770
N  0.000  0.746  0.270
N  0.500  0.004  0.769
N  0.500  0.996  0.269

Symmetry: Pmc2_1 (26)
Crystal system: orthorhombic
DOS(E_F) (states/eV/f.u.): 3.50
Calculated volume (A^3/atom): 25.9



Run two
A relaxed structure of Ac3HgN2, computed with PBE-GGA.

Lattice parameters (Å, degrees): 8.074 8.074 6.258 95.81 95.81 76.36
Sites, in units of the cell vectors:
Ac  0.093  0.093  0.276
Ac  0.191  0.615  0.226
Ac  0.385  0.809  0.774
Ac  0.615  0.191  0.226
Ac  0.809  0.385  0.774
Ac  0.907  0.907  0.724
Hg  0.353  0.353  0.727
Hg  0.647  0.647  0.273
N  0.160  0.840  0.500
N  0.162  0.838  0.000
N  0.838  0.162  0.000
N  0.840  0.160  0.500

Symmetry: C2/m (12)
Crystal system: monoclinic
DOS(E_F) (states/eV/f.u.): 3.84
Calculated volume (A^3/atom): 32.8



Order of stability, best first: run two, run one



Run one
A relaxed structure of Ac4HgN, computed with PBE-GGA.

Lattice parameters (Å, degrees): 5.602 7.278 10.240 90.00 105.85 90.00
Sites, in units of the cell vectors:
Ac  0.023  0.000  0.047
Ac  0.160  0.613  0.322
Ac  0.209  0.115  0.417
Ac  0.406  0.814  0.812
Ac  0.594  0.314  0.188
Ac  0.791  0.615  0.583
Ac  0.840  0.113  0.678
Ac  0.977  0.500  0.953
Hg  0.395  0.328  0.789
Hg  0.605  0.828  0.211
N  0.095  0.310  0.191
N  0.905  0.810  0.809

Symmetry: P2_1 (4)
Crystal system: monoclinic
DOS(E_F) (states/eV/f.u.): 5.34
Calculated volume (A^3/atom): 33.5



Run two
A relaxed structure of Ac4HgN, computed with PBE-GGA.

Lattice parameters (Å, degrees): 7.373 7.373 3.975 90.00 90.00 93.11
Sites, in units of the cell vectors:
Ac  0.249  0.751  0.000
Ac  0.321  0.321  0.500
Ac  0.679  0.679  0.500
Ac  0.751  0.249  0.000
Hg  0.000  0.000  0.500
N  0.500  0.500  0.000

Symmetry: Cmmm (65)
Crystal system: orthorhombic
DOS(E_F) (states/eV/f.u.): 5.08
Calculated volume (A^3/atom): 36.0



Order of stability, best first: run one, run two



Run one
A relaxed structure of Ac3HgN, computed with PBE-GGA.

Lattice parameters (Å, degrees): 5.341 5.341 5.341 90.00 90.00 90.00
Sites, in units of the cell vectors:
Ac  0.000  0.000  0.500
Ac  0.000  0.500  0.000
Ac  0.500  0.000  0.000
Hg  0.500  0.500  0.500
N  0.000  0.000  0.000

Symmetry: Pm-3m (221)
Crystal system: cubic
DOS(E_F) (states/eV/f.u.): 5.35
Calculated volume (A^3/atom): 30.5



Run two
A relaxed structure of Ac3HgN, computed with PBE-GGA.

Lattice parameters (Å, degrees): 7.533 7.533 12.999 106.29 106.29 60.44
Sites, in units of the cell vectors:
Ac  0.145  0.146  0.854
Ac  0.146  0.145  0.354
Ac  0.166  0.666  0.916
Ac  0.334  0.834  0.584
Ac  0.354  0.355  0.645
Ac  0.355  0.354  0.145
Ac  0.645  0.646  0.855
Ac  0.646  0.645  0.355
Ac  0.666  0.166  0.416
Ac  0.834  0.334  0.084
Ac  0.854  0.855  0.646
Ac  0.855  0.854  0.146
Hg  0.120  0.618  0.369
Hg  0.382  0.880  0.131
Hg  0.618  0.120  0.869
Hg  0.880  0.382  0.631
N  0.000  0.500  0.000
N  0.250  0.750  0.750
N  0.500  0.000  0.500
N  0.750  0.250  0.250

Symmetry: C2/c (15)
Crystal system: monoclinic
DOS(E_F) (states/eV/f.u.): 2.84
Calculated volume (A^3/atom): 30.3



Order of stability, best first: run two, run one



Run one
A relaxed structure of NaAc2Hg, computed with PBE-GGA.

Lattice parameters (Å, degrees): 4.090 4.090 8.824 90.00 90.00 90.00
Sites, in units of the cell vectors:
Na  0.000  0.000  0.000
Ac  0.500  0.500  0.283
Ac  0.500  0.500  0.717
Hg  0.000  0.000  0.500

Symmetry: P4/mmm (123)
Crystal system: tetragonal
DOS(E_F) (states/eV/f.u.): 3.80
Calculated volume (A^3/atom): 36.9



Run two
A relaxed structure of NaAc2Hg, computed with PBE-GGA.

Lattice parameters (Å, degrees): 11.733 11.733 11.733 19.66 19.66 19.66
Sites, in units of the cell vectors:
Na  0.000  0.000  0.000
Ac  0.571  0.571  0.571
Ac  0.762  0.762  0.762
Hg  0.167  0.167  0.167

Symmetry: R3m (160)
Crystal system: trigonal
DOS(E_F) (states/eV/f.u.): 4.06
Calculated volume (A^3/atom): 40.0



Run three
A relaxed structure of NaAc2Hg, computed with PBE-GGA.

Lattice parameters (Å, degrees): 5.830 5.830 5.830 60.00 60.00 60.00
Sites, in units of the cell vectors:
Na  0.000  0.000  0.000
Ac  0.250  0.250  0.250
Ac  0.750  0.750  0.750
Hg  0.500  0.500  0.500

Symmetry: Fm-3m (225)
Crystal system: cubic
DOS(E_F) (states/eV/f.u.): 5.98
Calculated volume (A^3/atom): 35.0



Order of stability, best first: run one, run three, run two



Run one
A relaxed structure of Na2AcHg3, computed with PBE-GGA.

Lattice parameters (Å, degrees): 5.432 5.432 13.375 90.00 90.00 120.00
Sites, in units of the cell vectors:
Na  0.000  0.000  0.000
Na  0.000  0.000  0.500
Na  0.333  0.667  0.159
Na  0.667  0.333  0.841
Ac  0.333  0.667  0.670
Ac  0.667  0.333  0.330
Hg  0.000  0.000  0.240
Hg  0.000  0.000  0.760
Hg  0.333  0.667  0.420
Hg  0.333  0.667  0.922
Hg  0.667  0.333  0.078
Hg  0.667  0.333  0.580

Symmetry: P-3m1 (164)
Crystal system: trigonal
DOS(E_F) (states/eV/f.u.): 3.62
Calculated volume (A^3/atom): 28.5



Run two
A relaxed structure of Na2AcHg3, computed with PBE-GGA.

Lattice parameters (Å, degrees): 5.471 5.471 6.683 90.00 90.00 120.00
Sites, in units of the cell vectors:
Na  0.333  0.667  0.144
Na  0.667  0.333  0.856
Ac  0.000  0.000  0.500
Hg  0.000  0.000  0.000
Hg  0.333  0.667  0.662
Hg  0.667  0.333  0.338

Symmetry: P-3m1 (164)
Crystal system: trigonal
DOS(E_F) (states/eV/f.u.): 4.65
Calculated volume (A^3/atom): 28.9



Order of stability, best first: run one, run two